The following is a GGA-PBE calculation of a geometry-optimized Sm2Al2In structure, from Alexandria via LeMat-Bulk.

Cell lengths 4.516, 14.781, 3.667 Å; angles 90.00, 90.00, 90.00 degrees
Space group Cmmm (No. 65)
Unique sites:
Sm1 0.000 0.123 0.000 x4
Al1 0.000 0.297 0.500 x4
In1 0.000 0.500 0.500 x2

Summary:
Energy of formation = -2.426 eV/f.u.
Mass density = 6.4 Mg/m³

***

The following is a GGA-PBE calculation of a geometry-optimized SmAlIn structure, from Alexandria via LeMat-Bulk.

Cell lengths 4.773, 7.406, 8.227 Å; angles 90.00, 90.00, 90.00 degrees
Space group Imma (No. 74)
Unique sites:
Sm1 0.000 0.000 0.000 x4
Al1 0.000 0.250 0.321 x4
In1 0.000 0.250 0.654 x4

Summary:
Energy of formation = -1.352 eV/f.u.
Mass density = 6.7 Mg/m³

***

mass density of number 2 (SmAlIn)?
6.7 Mg/m³

***

Look up the mass density of the first one.
6.4 Mg/m³

***

What did the first record say?
The following is a GGA-PBE calculation of a geometry-optimized Sm2Al2In structure, from Alexandria via LeMat-Bulk.

Cell lengths 4.516, 14.781, 3.667 Å; angles 90.00, 90.00, 90.00 degrees
Space group Cmmm (No. 65)
Unique sites:
Sm1 0.000 0.123 0.000 x4
Al1 0.000 0.297 0.500 x4
In1 0.000 0.500 0.500 x2

Summary:
Energy of formation = -2.426 eV/f.u.
Mass density = 6.4 Mg/m³

***

Copy entry 1 word for word.
The following is a GGA-PBE calculation of a geometry-optimized Sm2Al2In structure, from Alexandria via LeMat-Bulk.

Cell lengths 4.516, 14.781, 3.667 Å; angles 90.00, 90.00, 90.00 degrees
Space group Cmmm (No. 65)
Unique sites:
Sm1 0.000 0.123 0.000 x4
Al1 0.000 0.297 0.500 x4
In1 0.000 0.500 0.500 x2

Summary:
Energy of formation = -2.426 eV/f.u.
Mass density = 6.4 Mg/m³